Record 1
Density functional theory data (PBE-GGA) for a geometry-optimized AcAl2Si structure.

abc: 4.363 6.339 7.338
angles: 90.00 90.00 110.13
Fractional coordinates of all 8 atoms:
Ac1 0.791 0.583 0.500
Ac2 0.544 0.089 0.000
Si1 0.257 0.514 0.834
Si2 0.257 0.514 0.166
Al1 0.071 0.142 0.677
Al2 0.504 0.008 0.500
Al3 0.071 0.142 0.323
Al4 0.833 0.666 0.000

Properties
The formation energy from raw total energies comes out at -0.28 eV per atom. As for the space group: Amm2, No. 38. The density of states at the Fermi level is 4.139 states/eV/cell. As for the energy above the most stable polymorph in this dataset: 0.090 eV/atom.



Record 2
Density functional theory data (PBE-GGA) for a geometry-optimized Ac3Al2Si structure.

abc: 4.267 13.625 13.010
angles: 90.00 90.00 90.00
Fractional coordinates of all 24 atoms:
Al1 0.250 0.474 0.806
Al2 0.250 0.816 0.961
Al3 0.250 0.684 0.461
Al4 0.250 0.026 0.306
Al5 0.750 0.526 0.194
Al6 0.750 0.184 0.039
Al7 0.750 0.974 0.694
Al8 0.750 0.316 0.539
Ac1 0.750 0.875 0.431
Ac2 0.750 0.625 0.931
Ac3 0.750 0.551 0.614
Ac4 0.750 0.949 0.114
Ac5 0.750 0.217 0.299
Ac6 0.250 0.449 0.386
Ac7 0.250 0.125 0.569
Ac8 0.250 0.783 0.701
Ac9 0.750 0.283 0.799
Ac10 0.250 0.717 0.201
Ac11 0.250 0.051 0.886
Ac12 0.250 0.375 0.069
Si1 0.250 0.131 0.136
Si2 0.250 0.369 0.636
Si3 0.750 0.631 0.364
Si4 0.750 0.869 0.864

Properties
The formation energy from raw total energies comes out at -0.36 eV per atom. As for the space group: Pnma, No. 62. The density of states at the Fermi level is 22.965 states/eV/cell.